CaCd2Ru after structural relaxation. Source: Alexandria, functional GGA-PBE.

Energy of formation from the pure elements in eV/atom: 0.38
ρ in Mg/m³: 6.50
Total DFT energy (no corrections) in Ry per atom: -0.213
Fermi-level density of states in states/eV per cell: 7.525

Cell lengths 4.2871, 4.2871, 10.6148 Å; angles 78.35, 78.35, 90.00 degrees
With the nearest neighbours (Å) after each atom.
Positions (direct):
Ru (0.0000, 0.0000, 0.0000)  4 Cd 2.90, 4 Ca 3.03
Ru (0.7500, 0.2500, 0.5000)  4 Cd 2.90, 4 Ca 3.03
Ca (0.5000, 0.5000, 0.0000)  4 Ru 3.03, 4 Cd 3.03
Ca (0.2500, 0.7500, 0.5000)  4 Ru 3.03, 4 Cd 3.03
Cd (0.6688, 0.1250, 0.2500)  2 Cd 2.78, 2 Ru 2.90, 2 Ca 3.03
Cd (0.0812, 0.6250, 0.2500)  2 Cd 2.78, 2 Ru 2.90, 2 Ca 3.03
Cd (0.3750, 0.3312, 0.7500)  2 Cd 2.78, 2 Ru 2.90, 2 Ca 3.03
Cd (0.8750, 0.9188, 0.7500)  2 Cd 2.78, 2 Ru 2.90, 2 Ca 3.03